Record 1
Here is crystalline LiLaCd2 at its relaxed geometry from Alexandria via LeMat-Bulk. Energies are from PBE-GGA.

## Properties
The value obtained for the total DFT energy (no corrections) is -2.3103 eV per atom. The spin magnetization comes out at 0.221 μB per cell. The calculated formation energy comes out at -0.1424 eV per atom.

Geometry as CIF:
```
data_LiLaCd2
_cell_length_a 3.5445
_cell_length_b 3.5445
_cell_length_c 7.8513
_cell_angle_alpha 90.00
_cell_angle_beta 90.00
_cell_angle_gamma 90.00
_space_group_name_H-M_alt 'P 1'
_space_group_IT_number 1
_space_group_name_Hall 'P 1'
loop_
_atom_site_label
_atom_site_fract_x
_atom_site_fract_y
_atom_site_fract_z
_atom_site_occupancy
Li1 0.0000 0.0000 0.0000 1
La1 0.5000 0.5000 0.6906 1
Cd1 0.0000 0.0000 0.4029 1
Cd2 0.5000 0.5000 0.1639 1
```

Record 2
Here is crystalline NdPuNO at its relaxed geometry from Alexandria via LeMat-Bulk. Energies are from PBE-GGA.

## Properties
The value obtained for the total DFT energy (no corrections) is -10.1068 eV per atom. The spin magnetization comes out at 5.093 μB per cell. The raw formation energy is -2.01 eV/atom.

Geometry as CIF:
```
data_NdPuNO
_cell_length_a 3.5203
_cell_length_b 3.5203
_cell_length_c 5.0877
_cell_angle_alpha 90.00
_cell_angle_beta 90.00
_cell_angle_gamma 90.00
_space_group_name_H-M_alt 'P 1'
_space_group_IT_number 1
_space_group_name_Hall 'P 1'
loop_
_atom_site_label
_atom_site_fract_x
_atom_site_fract_y
_atom_site_fract_z
_atom_site_occupancy
Nd1 0.0000 0.0000 0.0000 1
Pu1 0.5000 0.5000 0.5000 1
N1 0.0000 0.0000 0.5000 1
O1 0.5000 0.5000 0.0000 1
```

Record 3
Here is crystalline Mg7Zn at its relaxed geometry from Alexandria via LeMat-Bulk. Energies are from PBE-GGA.

## Properties
The value obtained for the total DFT energy (no corrections) is -1.5554 eV per atom. The spin magnetization comes out at 0.000 μB per cell. As for the offset from the most stable computed form: 4 meV/atom. The calculated formation energy comes out at -0.0009 eV per atom.

Geometry as CIF:
```
data_Mg7Zn
_cell_length_a 9.4998
_cell_length_b 9.4998
_cell_length_c 9.4998
_cell_angle_alpha 153.25
_cell_angle_beta 153.25
_cell_angle_gamma 38.20
_space_group_name_H-M_alt 'P 1'
_space_group_IT_number 1
_space_group_name_Hall 'P 1'
loop_
_atom_site_label
_atom_site_fract_x
_atom_site_fract_y
_atom_site_fract_z
_atom_site_occupancy
Mg1 0.0000 0.0000 0.0000 1
Mg2 0.1195 0.6195 0.5000 1
Mg3 0.2491 0.2491 0.0000 1
Mg4 0.3805 0.8805 0.5000 1
Mg5 0.6195 0.1195 0.5000 1
Mg6 0.7509 0.7509 0.0000 1
Mg7 0.8805 0.3805 0.5000 1
Zn1 0.5000 0.5000 0.0000 1
```

Record 4
Here is crystalline ScRh3 at its relaxed geometry from Alexandria via LeMat-Bulk. Energies are from PBE-GGA.

## Properties
The value obtained for the total DFT energy (no corrections) is -5.6030 eV per atom. The spin magnetization comes out at 2.017 μB per cell. The calculated formation energy comes out at 1.4935 eV per atom.

Geometry as CIF:
```
data_ScRh3
_cell_length_a 4.7359
_cell_length_b 4.7359
_cell_length_c 4.7359
_cell_angle_alpha 90.00
_cell_angle_beta 90.00
_cell_angle_gamma 90.00
_space_group_name_H-M_alt 'P 1'
_space_group_IT_number 1
_space_group_name_Hall 'P 1'
loop_
_atom_site_label
_atom_site_fract_x
_atom_site_fract_y
_atom_site_fract_z
_atom_site_occupancy
Sc1 0.0000 0.0000 0.0000 1
Rh1 0.0000 0.0000 0.5000 1
Rh2 0.0000 0.5000 0.0000 1
Rh3 0.5000 0.0000 0.0000 1
```

Question: Look up the spin magnetization of the third one.
Answer: 0.000 μB per cell

Question: Which of these has the lowest total DFT energy (no corrections)?
Answer: NdPuNO